No. 1
First-principles (PBE) data for Li3InBi3Se8 after structural relaxation, as listed in Alexandria via LeMat-Bulk.

Output
DOS(E_F) = 11.05 states/eV/f.u.
spin magnetization = 0.0 μB/f.u.
uncorrected energy = -0.28087 Ry per atom

abc: 8.1060 8.1060 8.1060
angles: 60.54 60.54 60.54
Closest atoms and distances in Å follow each position.
Sites, in units of the cell vectors:
Li 0.0000 0.5000 0.5000  6 Se 2.81-2.82
Li 0.5000 0.0000 0.5000  6 Se 2.81-2.82
Li 0.5000 0.5000 0.0000  6 Se 2.81-2.82
In 0.5000 0.5000 0.5000  6 Se 2.79
Bi 0.0000 0.0000 0.5000  6 Se 2.94-2.95
Bi 0.0000 0.5000 0.0000  6 Se 2.94-2.95
Bi 0.5000 0.0000 0.0000  6 Se 2.94-2.95
Se 0.2562 0.2562 0.2562  3 Li 2.81, 3 Bi 2.95
Se 0.2574 0.2574 0.7319  1 In 2.79, 2 Li 2.82, 2 Bi 2.94
Se 0.2574 0.7319 0.2574  1 In 2.79, 2 Li 2.82, 2 Bi 2.94
Se 0.2681 0.7426 0.7426  1 In 2.79, 2 Li 2.82, 2 Bi 2.94
Se 0.7319 0.2574 0.2574  1 In 2.79, 2 Li 2.82, 2 Bi 2.94
Se 0.7426 0.2681 0.7426  1 In 2.79, 2 Li 2.82, 2 Bi 2.94
Se 0.7426 0.7426 0.2681  1 In 2.79, 2 Li 2.82, 2 Bi 2.94
Se 0.7438 0.7438 0.7438  3 Li 2.81, 3 Bi 2.95

=====

No. 2
First-principles (PBE) data for Li2InBiSe4 after structural relaxation, as listed in Alexandria via LeMat-Bulk.

Output
spin magnetization = 0.0 μB/f.u.
uncorrected energy = -0.27937 Ry per atom

abc: 6.9800 4.0487 7.0077
angles: 90.00 109.39 90.00
Closest atoms and distances in Å follow each position.
Sites, in units of the cell vectors:
Li 0.0000 0.0000 0.0000  6 Se 2.88-2.90
Li 0.0000 0.5000 0.5000  6 Se 2.78-2.79
In 0.5000 0.0000 0.5000  6 Se 2.82-2.84
Bi 0.5000 0.5000 0.0000  6 Se 2.93-2.94
Se 0.2387 0.0000 0.7353  3 Li 2.79-2.88, 1 In 2.84, 2 Bi 2.94
Se 0.2501 0.5000 0.2639  3 Li 2.78-2.90, 2 In 2.82, 1 Bi 2.93
Se 0.7499 0.5000 0.7361  3 Li 2.78-2.90, 2 In 2.82, 1 Bi 2.93
Se 0.7613 0.0000 0.2647  3 Li 2.79-2.88, 1 In 2.84, 2 Bi 2.94

=====

No. 3
First-principles (PBE) data for LiIn4BiSe8 after structural relaxation, as listed in Alexandria via LeMat-Bulk.

Output
DOS(E_F) = 1.76 states/eV/f.u.
spin magnetization = 0.0 μB/f.u.
uncorrected energy = -0.27593 Ry per atom

abc: 8.2230 8.2230 8.2230
angles: 59.76 59.76 59.76
Closest atoms and distances in Å follow each position.
Sites, in units of the cell vectors:
Li 0.0000 0.0000 0.0000  4 Se 2.60-2.62
In 0.3661 0.3661 0.8952  6 Se 2.74-2.89
In 0.3661 0.8952 0.3661  6 Se 2.74-2.89
In 0.7495 0.7495 0.7495  4 Se 2.66-2.73
In 0.8952 0.3661 0.3661  6 Se 2.74-2.89
Bi 0.3674 0.3674 0.3674  6 Se 2.87-2.99
Se 0.1203 0.1203 0.6119  1 Li 2.60, 2 In 2.74, 1 Bi 2.87
Se 0.1203 0.6119 0.1203  1 Li 2.60, 2 In 2.74, 1 Bi 2.87
Se 0.1297 0.1297 0.1297  1 Li 2.62, 3 In 2.74
Se 0.1472 0.6233 0.6233  3 In 2.66-2.86
Se 0.6119 0.1203 0.1203  1 Li 2.60, 2 In 2.74, 1 Bi 2.87
Se 0.6142 0.6142 0.6142  4 In 2.73-2.89
Se 0.6233 0.1472 0.6233  3 In 2.66-2.86
Se 0.6233 0.6233 0.1472  3 In 2.66-2.86

=====

No. 4
First-principles (PBE) data for LiSmInBi after structural relaxation, as listed in Alexandria via LeMat-Bulk.

Output
DOS(E_F) = 2.71 states/eV/f.u.
formation energy from the elements = -35.5 kJ per mole of atoms
spin magnetization = 0.0 μB/f.u.
uncorrected energy = -0.27053 Ry per atom

abc: 7.5736 7.5736 7.5736
angles: 90.00 90.00 90.00
Closest atoms and distances in Å follow each position.
Sites, in units of the cell vectors:
Li 0.0000 0.0000 0.0000  4 In 3.28, 4 Bi 3.28
Li 0.0000 0.5000 0.5000  4 In 3.28, 4 Bi 3.28
Li 0.5000 0.0000 0.5000  4 In 3.28, 4 Bi 3.28
Li 0.5000 0.5000 0.0000  4 In 3.28, 4 Bi 3.28
Sm 0.0000 0.0000 0.5000  4 Bi 3.28, 4 In 3.28
Sm 0.0000 0.5000 0.0000  4 Bi 3.28, 4 In 3.28
Sm 0.5000 0.0000 0.0000  4 Bi 3.28, 4 In 3.28
Sm 0.5000 0.5000 0.5000  4 Bi 3.28, 4 In 3.28
In 0.2500 0.2500 0.7500  4 Li 3.28, 4 Sm 3.28
In 0.2500 0.7500 0.2500  4 Li 3.28, 4 Sm 3.28
In 0.7500 0.2500 0.2500  4 Li 3.28, 4 Sm 3.28
In 0.7500 0.7500 0.7500  4 Li 3.28, 4 Sm 3.28
Bi 0.2500 0.2500 0.2500  4 Li 3.28, 4 Sm 3.28
Bi 0.2500 0.7500 0.7500  4 Li 3.28, 4 Sm 3.28
Bi 0.7500 0.2500 0.7500  4 Li 3.28, 4 Sm 3.28
Bi 0.7500 0.7500 0.2500  4 Li 3.28, 4 Sm 3.28